Record 1
CuRe3Si at its PBEsol-relaxed geometry, computed with meta-GGA SCAN.

The structure belongs to space group Pm-3m (No. 221); the cell edges are 4.347, 4.347 and 4.347 Å and the angles 90.00°, 90.00° and 90.00°. The asymmetric unit holds Cu at (0.000, 0.000, 0.000), Re at (0.000, 0.500, 0.500) and Si at (0.500, 0.500, 0.500).

The density of states at the Fermi level is 3.6 states/eV/f.u. The crystal system is cubic. The calculation puts the final energy at -230.662 eV/cell. The uncorrected formation energy comes out at 7.8 eV/f.u.

---

Record 2
CdS at its PBEsol-relaxed geometry, computed with meta-GGA SCAN.

The structure belongs to space group P6_3mc (No. 186); the cell edges are 4.1262, 4.1262 and 6.7102 Å and the angles 90.00°, 90.00° and 120.00°. The asymmetric unit holds Cd at (0.3333, 0.6667, 0.0000) and S at (0.3333, 0.6667, 0.6233).

The density of states at the Fermi level is 0.0 states/eV/f.u. The crystal system is hexagonal. The calculation puts the final energy at -83.131 eV/cell. The uncorrected formation energy comes out at -1.5 eV/f.u.

---

Record 3
Bi2Rh at its PBEsol-relaxed geometry, computed with meta-GGA SCAN.

The structure belongs to space group P2_1/c (No. 14); the cell edges are 6.901, 6.810 and 6.950 Å and the angles 90.00°, 117.49° and 90.00°. The asymmetric unit holds Bi at (0.145, 0.143, 0.373), Bi at (0.347, 0.643, 0.674) and Rh at (0.273, 0.002, 0.789).

The density of states at the Fermi level is 0.5 states/eV/f.u. The crystal system is monoclinic. The calculation puts the final energy at -766.697 eV/cell.

---

Record 4
Sr2Mg at its PBEsol-relaxed geometry, computed with meta-GGA SCAN.

The structure belongs to space group Cmcm (No. 63); the cell edges are 4.109, 19.270 and 6.197 Å and the angles 90.00°, 90.00° and 90.00°. The asymmetric unit holds Sr at (0.000, 0.082, 0.250), Sr at (0.000, 0.219, 0.750) and Mg at (0.000, 0.432, 0.250).

The density of states at the Fermi level is 3.0 states/eV/f.u. The crystal system is orthorhombic. The calculation puts the final energy at -198.063 eV/cell.

---

Record 5
Li2GeTeO6 at its PBEsol-relaxed geometry, computed with meta-GGA SCAN.

The structure belongs to space group R3 (No. 146, hexagonal axes); the cell edges are 5.0267, 5.0267 and 14.2895 Å and the angles 90.00°, 90.00° and 120.00°. The asymmetric unit holds Li at (0.0000, 0.0000, 0.0000), Li at (0.0000, 0.0000, 0.2649), Ge at (0.0000, 0.0000, 0.7936), Te at (0.0000, 0.0000, 0.4746), O at (0.0066, 0.3721, 0.0595) and O at (0.0421, 0.6926, 0.5438).

The density of states at the Fermi level is 0.0 states/eV/f.u. The crystal system is trigonal. The calculation puts the final energy at -348.242 eV/cell. The uncorrected formation energy comes out at -17.6 eV/f.u.

---

Record 6
LiTaAs2 at its PBEsol-relaxed geometry, computed with meta-GGA SCAN.

The structure belongs to space group P4/mmm (No. 123); the cell edges are 3.311, 3.311 and 5.917 Å and the angles 90.00°, 90.00° and 90.00°. The asymmetric unit holds Li at (0.000, 0.000, 0.000), Ta at (0.000, 0.000, 0.500) and As at (0.500, 0.500, 0.264).

The density of states at the Fermi level is 1.8 states/eV/f.u. The crystal system is tetragonal. The calculation puts the final energy at -110.846 eV/cell.

---

Record 7
ScTaIr2 at its PBEsol-relaxed geometry, computed with meta-GGA SCAN.

The structure belongs to space group I4/mmm (No. 139); the cell edges are 4.214, 4.214 and 7.181 Å and the angles 90.00°, 90.00° and 90.00°. The asymmetric unit holds Sc at (0.000, 0.000, 0.000), Ta at (0.000, 0.000, 0.500) and Ir at (0.000, 0.500, 0.250).

The density of states at the Fermi level is 2.8 states/eV/f.u. The crystal system is tetragonal. The calculation puts the final energy at -453.031 eV/cell.

---

Record 8
KCd2Ag at its PBEsol-relaxed geometry, computed with meta-GGA SCAN.

The structure belongs to space group Pmmm (No. 47); the cell edges are 4.428, 4.610 and 4.857 Å and the angles 90.00°, 90.00° and 90.00°. The asymmetric unit holds K at (0.000, 0.000, 0.000), Cd at (0.000, 0.500, 0.500), Cd at (0.500, 0.000, 0.500) and Ag at (0.500, 0.500, 0.000).

The density of states at the Fermi level is 1.1 states/eV/f.u. The crystal system is orthorhombic. The calculation puts the final energy at -99.888 eV/cell.

---

Record 9
ZrGePt3 at its PBEsol-relaxed geometry, computed with meta-GGA SCAN.

The structure belongs to space group Pm-3m (No. 221); the cell edges are 4.883, 4.883 and 4.883 Å and the angles 90.00°, 90.00° and 90.00°. The asymmetric unit holds Zr at (0.000, 0.000, 0.000), Ge at (0.500, 0.500, 0.500) and Pt at (0.000, 0.000, 0.500).

The density of states at the Fermi level is 2.3 states/eV/f.u. The crystal system is cubic. The calculation puts the final energy at -256.415 eV/cell.

---

Record 10
LiAgSe2 at its PBEsol-relaxed geometry, computed with meta-GGA SCAN.

The structure belongs to space group Cmm2 (No. 35); the cell edges are 3.886, 4.022 and 9.579 Å and the angles 90.00°, 90.00° and 90.00°. The asymmetric unit holds Li at (0.000, 0.000, 0.000), Ag at (0.000, 0.500, 0.223), Se at (0.000, 0.000, 0.456) and Se at (0.000, 0.500, 0.814).

The density of states at the Fermi level is 1.5 states/eV/f.u. The crystal system is orthorhombic. The calculation puts the final energy at -149.185 eV/cell. The uncorrected formation energy comes out at -0.7 eV/f.u.

---

Record 11
KMnAg4 at its PBEsol-relaxed geometry, computed with meta-GGA SCAN.

The structure belongs to space group F-43m (No. 216); the cell edges are 7.824, 7.824 and 7.824 Å and the angles 90.00°, 90.00° and 90.00°. The asymmetric unit holds K at (0.000, 0.000, 0.000), Mn at (0.250, 0.250, 0.750) and Ag at (0.124, 0.124, 0.376).

The density of states at the Fermi level is 2.5 states/eV/f.u. The crystal system is cubic. The calculation puts the final energy at -603.910 eV/cell.

---

Record 12
Li2CaN2 at its PBEsol-relaxed geometry, computed with meta-GGA SCAN.

The structure belongs to space group P-3m1 (No. 164); the cell edges are 3.4262, 3.4262 and 5.7338 Å and the angles 90.00°, 90.00° and 120.00°. The asymmetric unit holds Li at (0.3333, 0.6667, 0.1162), Ca at (0.0000, 0.0000, 0.5000) and N at (0.3333, 0.6667, 0.7544).

The density of states at the Fermi level is 2.8 states/eV/f.u. The crystal system is trigonal. The calculation puts the final energy at -34.509 eV/cell. The uncorrected formation energy comes out at -1.5 eV/f.u.